A relaxed structure of Ca2CuPd2Au5, computed with PBE.

a = 9.7772 Å, b = 9.7772 Å, c = 4.1225 Å
α = 90.00°, β = 90.00°, γ = 90.00°
Fractional positions:
Ca1 0.1723 0.3277 0.0000
Ca2 0.3277 0.8277 0.0000
Ca3 0.6723 0.1723 0.0000
Ca4 0.8277 0.6723 0.0000
Cu1 0.0000 0.0000 0.0000
Cu2 0.5000 0.5000 0.0000
Pd1 0.1284 0.6284 0.0000
Pd2 0.3716 0.1284 0.0000
Pd3 0.6284 0.8716 0.0000
Pd4 0.8716 0.3716 0.0000
Au1 0.0000 0.5000 0.5000
Au2 0.0603 0.8050 0.5000
Au3 0.1950 0.0603 0.5000
Au4 0.3050 0.5603 0.5000
Au5 0.4397 0.3050 0.5000
Au6 0.5000 0.0000 0.5000
Au7 0.5603 0.6950 0.5000
Au8 0.6950 0.4397 0.5000
Au9 0.8050 0.9397 0.5000
Au10 0.9397 0.1950 0.5000

Output
Space group   P4/mbm (127)
Calculated formation energy   -4.53 eV/f.u.

=====

A relaxed structure of Ac3Nd2ThTe6, computed with PBE.

a = 10.3066 Å, b = 10.3066 Å, c = 9.2384 Å
α = 103.15°, β = 103.15°, γ = 25.79°
Fractional positions:
Ac1 0.0000 0.0000 0.0000
Ac2 0.3337 0.3337 0.6674
Ac3 0.6663 0.6663 0.3326
Nd1 0.3349 0.3349 0.1699
Nd2 0.6651 0.6651 0.8301
Th1 0.0000 0.0000 0.5000
Te1 0.1637 0.1637 0.5906
Te2 0.1708 0.1708 0.0743
Te3 0.4971 0.4971 0.2580
Te4 0.5029 0.5029 0.7420
Te5 0.8292 0.8292 0.9257
Te6 0.8363 0.8363 0.4094

Output
Space group   C2/m (12)
Energy   -5.3870 eV per atom

=====

A relaxed structure of Ta4CdW, computed with PBE.

a = 5.4382 Å, b = 5.4382 Å, c = 5.4382 Å
α = 60.00°, β = 60.00°, γ = 60.00°
Fractional positions:
Ta1 0.1233 0.1233 0.1233
Ta2 0.1233 0.1233 0.6301
Ta3 0.1233 0.6301 0.1233
Ta4 0.6301 0.1233 0.1233
Cd1 0.5000 0.5000 0.5000
W1 0.7500 0.7500 0.7500

Output
Space group   F-43m (216)
Calculated formation energy   3.12 eV/f.u.

=====

A relaxed structure of Hf12MnGa6, computed with PBE.

a = 7.5482 Å, b = 7.5482 Å, c = 7.5482 Å
α = 99.05°, β = 99.05°, γ = 99.05°
Fractional positions:
Hf1 0.0063 0.0652 0.3219
Hf2 0.0652 0.3219 0.0063
Hf3 0.1982 0.5418 0.4213
Hf4 0.3219 0.0063 0.0652
Hf5 0.4213 0.1982 0.5418
Hf6 0.4582 0.5787 0.8018
Hf7 0.5418 0.4213 0.1982
Hf8 0.5787 0.8018 0.4582
Hf9 0.6781 0.9937 0.9348
Hf10 0.8018 0.4582 0.5787
Hf11 0.9348 0.6781 0.9937
Hf12 0.9937 0.9348 0.6781
Mn1 0.0000 0.0000 0.0000
Ga1 0.1213 0.3120 0.6564
Ga2 0.3120 0.6564 0.1213
Ga3 0.3436 0.8787 0.6880
Ga4 0.6564 0.1213 0.3120
Ga5 0.6880 0.3436 0.8787
Ga6 0.8787 0.6880 0.3436

Output
Space group   R-3 (148)
Calculated formation energy   0.91 eV/f.u.

=====

no.,theoretical density (Mg/m³)
1,11.304
2,7.867
3,14.894
4,10.539